VASP calculation (PBE+U) on LiWAuF2 after structural relaxation.

Unit cell a=3.956 b=3.956 c=4.941 alpha=90.00 beta=90.00 gamma=90.00
Fractional positions:
Li1 0.000 0.000 0.000
W1 0.500 0.500 0.500
Au1 0.000 0.000 0.500
F1 0.000 0.500 0.000
F2 0.500 0.000 0.000

Output
**VASP energy**: -0.294 Ry/atom
**SG**: P4/mmm, No. 123
**Density**: 9.1 Mg/m³